Entry 1:
First-principles (GGA-PBE) data for a relaxed structure of Al3GeI, as listed in the Alexandria database.

Properties
crystal system	cubic
relative energy among the computed polymorphs	835	meV per atom
E_tot	-0.1597	Ry per atom
energy relative to the elements, uncorrected	1.31	eV per atom
size of the total moment	0.0	μB/cell
SG	Pm-3m (221)

abc: 5.512 5.512 5.512
angles: 90.00 90.00 90.00
Atoms (fractional coordinates):
1 I 0.000 0.000 0.000
2 Ge 0.500 0.500 0.500
3 Al 0.000 0.500 0.000
4 Al 0.000 0.000 0.500
5 Al 0.500 0.000 0.000


Entry 2:
First-principles (GGA-PBE) data for a relaxed structure of Ac4SiRhCl2, as listed in the Alexandria database.

Properties
crystal system	monoclinic
E_tot	-0.3861	Ry per atom
energy relative to the elements, uncorrected	-1.14	eV per atom
size of the total moment	0.0	μB/cell
SG	P2/m (10)

abc: 4.365 7.833 7.945
angles: 73.03 90.00 90.00
Atoms (fractional coordinates):
1 Ac 0.000 0.713 0.774
2 Ac 0.000 0.287 0.226
3 Ac 0.500 0.717 0.251
4 Ac 0.500 0.283 0.749
5 Si 0.000 0.500 0.500
6 Rh 0.500 0.500 0.000
7 Cl 0.000 0.000 0.000
8 Cl 0.500 0.000 0.500